5
Lattice="3.7270 0.0000 0.0000 0.0000 3.7270 0.0000 0.0000 0.0000 3.7270" Properties=species:S:1:pos:R:3 comment="MgCrO3 PBE with a Hubbard U optimized geometry" magnetic_moment_mub_per_cell=2.00 total_energy_ev_per_atom=-6.340 space_group="Pm-3m (221)" pbc="T T T"
O 0.0000 0.0000 1.8635
O 0.0000 1.8635 0.0000
O 1.8635 0.0000 0.0000
Cr 0.0000 0.0000 0.0000
Mg 1.8635 1.8635 1.8635